VASP calculation (PBE) on an optimized crystal structure of TbEr2InRh4.

Cell lengths 4.7638, 4.7638, 23.2080 Å; angles 90.00, 90.00, 120.00 degrees
Space group R-3m (No. 166, hexagonal axes)
Symmetry-distinct sites (fractional):
Tb 0.0000 0.0000 0.0000 x3
Er 0.0000 0.0000 0.2449 x6
In 0.0000 0.0000 0.5000 x3
Rh 0.0000 0.0000 0.1241 x6
Rh 0.0000 0.0000 0.3761 x6



VASP calculation (PBE) on an optimized crystal structure of ZrPtRh.

Results
Polymorph energy (0 for the lowest one) ... 0.002 eV/atom

Cell lengths 5.472, 4.419, 8.645 Å; angles 90.00, 90.00, 90.00 degrees
Space group Pnma (No. 62)
Symmetry-distinct sites (fractional):
Zr 0.244 0.250 0.050 x4
Pt 0.244 0.250 0.363 x4
Rh 0.017 0.250 0.738 x4



| no. | E_form (eV/atom) |
| --- | --- |
| 1 | -0.83 |
| 2 | -0.88 |